Record 1
A plane-wave DFT calculation with GGA-PBE was carried out for an optimized crystal structure of NaCdBiO3.

```
NaCdBiO3
1.0
-1.454 1.929 -2.491
-0.434 -7.917 -5.876
-6.046 -1.480 2.383
Cd O Na Bi
2 6 2 2
direct
0.250 0.101 0.623
0.750 0.899 0.377
0.750 0.741 0.147
0.750 0.423 0.129
0.250 0.577 0.871
0.250 0.875 0.598
0.750 0.125 0.402
0.250 0.259 0.853
0.750 0.768 0.797
0.250 0.232 0.203
0.250 0.592 0.191
0.750 0.408 0.809
```

## Properties
total magnetization = 0.00 μB per formula unit
space-group type = P2_1/m (11)
DOS(E_F) = 0.00 states/eV/cell
calculated total energy = -56.32 eV for the cell shown
E_form (uncorrected) = -115.3 kJ/mol of atoms



Record 2
A plane-wave DFT calculation with GGA-PBE was carried out for an optimized crystal structure of Ac4TbPr5.

```
Ac4TbPr5
1.0
3.852 0.000 0.000
0.000 3.852 0.000
0.000 0.000 26.403
Pr Tb Ac
5 1 4
direct
0.500 0.500 0.296
0.500 0.500 0.091
0.500 0.500 0.704
0.500 0.500 0.500
0.500 0.500 0.909
0.000 0.000 0.000
0.000 0.000 0.602
0.000 0.000 0.194
0.000 0.000 0.806
0.000 0.000 0.398
```

## Properties
total magnetization = 0.00 μB per formula unit
space-group type = P4/mmm (123)
DOS(E_F) = 18.83 states/eV/cell
calculated total energy = -44.64 eV for the cell shown
ΔH_f (0 K) = 0.3 eV per formula unit



Record 3
A plane-wave DFT calculation with GGA-PBE was carried out for an optimized crystal structure of Cr2MoRu2.

```
Cr2MoRu2
1.0
-0.487 6.541 2.893
-4.881 -2.424 4.658
1.965 -0.621 1.736
Ru Cr Mo
4 4 2
direct
0.367 0.867 0.000
0.867 0.633 0.000
0.633 0.133 0.000
0.133 0.367 0.000
0.166 0.666 0.500
0.834 0.334 0.500
0.666 0.834 0.500
0.334 0.166 0.500
0.500 0.500 0.000
0.000 0.000 0.000
```

## Properties
total magnetization = 0.00 μB per formula unit
space-group type = P4/mbm (127)
DOS(E_F) = 7.73 states/eV/cell
calculated total energy = -95.19 eV for the cell shown
ΔH_f (0 K) = 1.0 eV per formula unit



Record 4
A plane-wave DFT calculation with GGA-PBE was carried out for an optimized crystal structure of LaYMgCu.

```
LaYMgCu
1.0
5.280 0.000 0.000
2.640 4.573 0.000
2.640 1.524 4.311
La Cu Y Mg
1 1 1 1
direct
0.250 0.250 0.250
0.000 0.000 0.000
0.750 0.750 0.750
0.500 0.500 0.500
```

## Properties
total magnetization = 0.00 μB per formula unit
space-group type = F-43m (216)
DOS(E_F) = 4.71 states/eV/cell
calculated total energy = -17.28 eV for the cell shown
ΔH_f (0 K) = -0.2 eV per formula unit



Record 5
A plane-wave DFT calculation with GGA-PBE was carried out for an optimized crystal structure of UPdSe3.

```
UPdSe3
1.0
-5.233 3.614 0.996
-4.354 -5.312 -3.602
-1.367 -4.101 7.700
Pd Se U
4 12 4
direct
0.000 0.000 0.500
0.500 0.500 0.000
0.500 0.500 0.500
0.000 0.000 0.000
0.319 0.563 0.250
0.338 0.840 0.942
0.819 0.937 0.750
0.681 0.437 0.750
0.662 0.160 0.058
0.838 0.660 0.058
0.162 0.340 0.942
0.181 0.063 0.250
0.162 0.340 0.558
0.838 0.660 0.442
0.338 0.840 0.558
0.662 0.160 0.442
0.935 0.360 0.250
0.565 0.860 0.250
0.435 0.140 0.750
0.065 0.640 0.750
```

## Properties
total magnetization = 1.84 μB per formula unit
space-group type = Pnma (62)
DOS(E_F) = 28.48 states/eV/cell
calculated total energy = -124.01 eV for the cell shown
E_form (uncorrected) = -78.5 kJ/mol of atoms



Record 6
A plane-wave DFT calculation with GGA-PBE was carried out for an optimized crystal structure of ZrTcCl3.

```
ZrTcCl3
1.0
-4.267 1.480 1.427
-0.695 -4.132 2.209
1.935 1.781 3.939
Cl Tc Zr
3 1 1
direct
0.000 0.500 0.000
0.500 0.000 0.000
0.000 0.000 0.500
0.000 0.000 0.000
0.500 0.500 0.500
```

## Properties
total magnetization = 0.47 μB per formula unit
space-group type = Pm-3m (221)
DOS(E_F) = 8.07 states/eV/cell
calculated total energy = -22.44 eV for the cell shown
E_form (uncorrected) = 38.9 kJ/mol of atoms



Record 7
A plane-wave DFT calculation with GGA-PBE was carried out for an optimized crystal structure of Ac5PdPt2.

```
Ac5PdPt2
1.0
6.091 0.000 0.000
-3.045 6.840 0.000
0.000 0.000 15.016
Ac Pd Pt
10 2 4
direct
0.659 0.318 0.937
0.659 0.318 0.563
0.248 0.495 0.750
0.752 0.505 0.250
0.341 0.682 0.437
0.945 0.889 0.619
0.055 0.111 0.381
0.945 0.889 0.881
0.341 0.682 0.063
0.055 0.111 0.119
0.228 0.456 0.250
0.772 0.544 0.750
0.845 0.691 0.058
0.845 0.691 0.442
0.155 0.309 0.942
0.155 0.309 0.558
```

## Properties
total magnetization = 0.00 μB per formula unit
space-group type = Cmcm (63)
DOS(E_F) = 12.41 states/eV/cell
calculated total energy = -87.31 eV for the cell shown
ΔH_f (0 K) = -5.8 eV per formula unit



Record 8
A plane-wave DFT calculation with GGA-PBE was carried out for an optimized crystal structure of LaPu2Al2Ge2.

```
LaPu2Al2Ge2
1.0
-2.921 -0.577 3.034
-3.619 -2.043 -0.894
1.916 -9.163 3.079
Al Ge Pu La
2 2 2 1
direct
0.572 0.572 0.283
0.428 0.428 0.717
0.267 0.267 0.200
0.733 0.733 0.800
0.839 0.839 0.482
0.161 0.161 0.518
0.000 0.000 0.000
```

## Properties
total magnetization = 5.86 μB per formula unit
space-group type = R-3m (166)
DOS(E_F) = 7.29 states/eV/cell
calculated total energy = -51.87 eV for the cell shown
ΔH_f (0 K) = -1.6 eV per formula unit



Record 9
A plane-wave DFT calculation with GGA-PBE was carried out for an optimized crystal structure of Ta2Be2CuNi5.

```
Ta2Be2CuNi5
1.0
-1.921 1.707 -1.480
-2.846 -7.078 -4.472
-6.107 -1.476 6.222
Be Cu Ta Ni
4 2 4 10
direct
0.000 0.120 0.620
0.000 0.380 0.120
0.000 0.620 0.880
0.000 0.880 0.380
0.000 0.000 0.000
0.000 0.500 0.500
0.000 0.822 0.678
0.000 0.322 0.822
0.000 0.178 0.322
0.000 0.678 0.178
0.500 0.000 0.500
0.500 0.438 0.289
0.500 0.500 0.000
0.500 0.211 0.062
0.500 0.938 0.211
0.500 0.562 0.711
0.500 0.789 0.938
0.500 0.289 0.562
0.500 0.062 0.789
0.500 0.711 0.438
```

## Properties
total magnetization = 0.00 μB per formula unit
space-group type = P4/mbm (127)
DOS(E_F) = 16.65 states/eV/cell
calculated total energy = -132.60 eV for the cell shown
ΔH_f (0 K) = -2.1 eV per formula unit



Record 10
A plane-wave DFT calculation with GGA-PBE was carried out for an optimized crystal structure of Si3OsCl.

```
Si3OsCl
1.0
4.356 0.000 0.000
0.000 4.356 0.000
0.000 0.000 4.356
Os Si Cl
1 3 1
direct
0.500 0.500 0.500
0.500 0.000 0.000
0.000 0.500 0.000
0.000 0.000 0.500
0.000 0.000 0.000
```

## Properties
total magnetization = 0.00 μB per formula unit
space-group type = Pm-3m (221)
DOS(E_F) = 2.65 states/eV/cell
calculated total energy = -21.07 eV for the cell shown
E_form (uncorrected) = 159.8 kJ/mol of atoms



Record 11
A plane-wave DFT calculation with GGA-PBE was carried out for an optimized crystal structure of K5Hg3.

```
K5Hg3
1.0
-4.092 -0.725 1.199
0.847 -4.229 0.332
4.950 2.434 18.366
K Hg
5 3
direct
0.000 0.000 0.785
0.500 0.500 0.606
0.000 0.000 0.215
0.000 0.000 0.000
0.500 0.500 0.394
0.500 0.500 0.894
0.500 0.500 0.106
0.000 0.000 0.500
```

## Properties
total magnetization = 0.00 μB per formula unit
space-group type = P4/mmm (123)
DOS(E_F) = 5.06 states/eV/cell
calculated total energy = -7.74 eV for the cell shown
ΔH_f (0 K) = -1.4 eV per formula unit



Record 12
A plane-wave DFT calculation with GGA-PBE was carried out for an optimized crystal structure of ZnInAs2.

```
ZnInAs2
1.0
4.060 0.000 0.000
0.000 5.143 0.000
0.000 0.000 3.971
As In Zn
2 1 1
direct
0.000 0.000 0.000
0.500 0.500 0.000
0.500 0.000 0.500
0.000 0.500 0.500
```

## Properties
total magnetization = 0.00 μB per formula unit
space-group type = Pmmm (47)
DOS(E_F) = 1.26 states/eV/cell
calculated total energy = -12.36 eV for the cell shown
ΔH_f (0 K) = 1.0 eV per formula unit